[1]
# BaZn2Au4, optimized geometry, DFT PBE-GGA
# * ΔE_f: -37 kJ/mol of atoms
data_BaZn2Au4
_cell_length_a 4.3620
_cell_length_b 8.3823
_cell_length_c 8.4351
_cell_angle_alpha 90.00
_cell_angle_beta 90.00
_cell_angle_gamma 90.00
_space_group_name_H-M_alt 'P m m n'
_space_group_IT_number 59
loop_
_space_group_symop_operation_xyz
'x,y,z'
'-x,-y,-z'
'-x+1/2,-y+1/2,z'
'x+1/2,y+1/2,-z'
'x+1/2,-y,-z'
'-x+1/2,y,z'
'-x,y+1/2,-z'
'x,-y+1/2,z'
loop_
_atom_site_label
_atom_site_type_symbol
_atom_site_fract_x
_atom_site_fract_y
_atom_site_fract_z
Ba1 Ba 0.2500 0.2500 0.2446
Zn1 Zn 0.2500 0.2500 0.6514
Zn2 Zn 0.2500 0.7500 0.1223
Au1 Au 0.2500 0.0563 0.9053
Au2 Au 0.2500 0.5872 0.4553

***

[2]
# RbTa2MoPt, optimized geometry, DFT PBE-GGA
# * ΔE_f: 127 kJ/mol of atoms
data_RbTa2MoPt
_cell_length_a 4.8794
_cell_length_b 4.8794
_cell_length_c 5.2156
_cell_angle_alpha 90.00
_cell_angle_beta 90.00
_cell_angle_gamma 90.00
_space_group_name_H-M_alt 'P 4/m m m'
_space_group_IT_number 123
_space_group_name_Hall '-P 4 2'
loop_
_atom_site_label
_atom_site_type_symbol
_atom_site_fract_x
_atom_site_fract_y
_atom_site_fract_z
Rb1 Rb 0.0000 0.0000 0.0000
Ta1 Ta 0.0000 0.5000 0.5000
Mo1 Mo 0.5000 0.5000 0.5000
Pt1 Pt 0.5000 0.5000 0.0000

***

[3]
# CeTc, optimized geometry, DFT PBE-GGA
# * ΔE_f: 1 kJ/mol of atoms
data_CeTc
_cell_length_a 4.4100
_cell_length_b 11.6367
_cell_length_c 3.2937
_cell_angle_alpha 90.00
_cell_angle_beta 90.00
_cell_angle_gamma 90.00
_space_group_name_H-M_alt 'C m c m'
_space_group_IT_number 63
_space_group_name_Hall '-C 2c 2'
loop_
_atom_site_label
_atom_site_type_symbol
_atom_site_fract_x
_atom_site_fract_y
_atom_site_fract_z
Ce1 Ce 0.0000 0.1370 0.2500
Tc1 Tc 0.0000 0.4085 0.2500

***

[4]
# TaSbN2O, optimized geometry, DFT PBE-GGA
# * energy relative to the elements, uncorrected: 0.773 eV per atom
data_TaSbN2O
_cell_length_a 4.0480
_cell_length_b 4.0480
_cell_length_c 3.8733
_cell_angle_alpha 90.00
_cell_angle_beta 90.00
_cell_angle_gamma 90.00
_space_group_name_H-M_alt 'P 4/m m m'
_space_group_IT_number 123
_space_group_name_Hall '-P 4 2'
loop_
_atom_site_label
_atom_site_type_symbol
_atom_site_fract_x
_atom_site_fract_y
_atom_site_fract_z
Ta1 Ta 0.0000 0.0000 0.0000
Sb1 Sb 0.5000 0.5000 0.5000
N1 N 0.0000 0.5000 0.5000
O1 O 0.5000 0.5000 0.0000

***

[5]
# Tm4AlZn2Rh, optimized geometry, DFT PBE-GGA
# * ΔE_f: -51 kJ/mol of atoms
data_Tm4AlZn2Rh
_cell_length_a 4.9404
_cell_length_b 4.9404
_cell_length_c 24.1083
_cell_angle_alpha 90.00
_cell_angle_beta 90.00
_cell_angle_gamma 120.00
_space_group_name_H-M_alt 'R -3 m'
_space_group_IT_number 166
_space_group_name_Hall '-R 3 2"'
loop_
_atom_site_label
_atom_site_type_symbol
_atom_site_fract_x
_atom_site_fract_y
_atom_site_fract_z
Tm1 Tm 0.0000 0.0000 0.1195
Tm2 Tm 0.0000 0.0000 0.3710
Al1 Al 0.0000 0.0000 0.5000
Zn1 Zn 0.0000 0.0000 0.2436
Rh1 Rh 0.0000 0.0000 0.0000

***

[6]
# CuRhW2, optimized geometry, DFT PBE-GGA
# * excess energy over the best structure of this formula in the dataset: 0.304 eV/atom
# * ΔE_f: 38 kJ/mol of atoms
data_CuRhW2
_cell_length_a 3.2800
_cell_length_b 3.2800
_cell_length_c 5.5273
_cell_angle_alpha 90.00
_cell_angle_beta 90.00
_cell_angle_gamma 90.00
_space_group_name_H-M_alt 'P 4/m m m'
_space_group_IT_number 123
_space_group_name_Hall '-P 4 2'
loop_
_atom_site_label
_atom_site_type_symbol
_atom_site_fract_x
_atom_site_fract_y
_atom_site_fract_z
Cu1 Cu 0.0000 0.0000 0.0000
Rh1 Rh 0.0000 0.0000 0.5000
W1 W 0.5000 0.5000 0.2289

***

[7]
# Sr2LiSn3Pt4, optimized geometry, DFT PBE-GGA
# * ΔE_f: -75 kJ/mol of atoms
data_Sr2LiSn3Pt4
_cell_length_a 4.5800
_cell_length_b 4.5800
_cell_length_c 10.9447
_cell_angle_alpha 90.00
_cell_angle_beta 90.00
_cell_angle_gamma 90.00
_space_group_name_H-M_alt 'P -4 m 2'
_space_group_IT_number 115
loop_
_space_group_symop_operation_xyz
'x,y,z'
'y,-x,-z'
'-x,-y,z'
'-y,x,-z'
'-x,y,z'
'-y,-x,-z'
'x,-y,z'
'y,x,-z'
loop_
_atom_site_label
_atom_site_type_symbol
_atom_site_fract_x
_atom_site_fract_y
_atom_site_fract_z
Sr1 Sr 0.0000 0.5000 0.2488
Li1 Li 0.5000 0.5000 0.0000
Sn1 Sn 0.0000 0.0000 0.0000
Sn2 Sn 0.0000 0.5000 0.6277
Pt1 Pt 0.0000 0.0000 0.5000
Pt2 Pt 0.0000 0.5000 0.8699
Pt3 Pt 0.5000 0.5000 0.5000

***

[8]
# CaTlRu2, optimized geometry, DFT PBE-GGA
# * excess energy over the best structure of this formula in the dataset: 0.352 eV/atom
# * ΔE_f: 52 kJ/mol of atoms
data_CaTlRu2
_cell_length_a 6.0041
_cell_length_b 9.3227
_cell_length_c 2.9672
_cell_angle_alpha 90.00
_cell_angle_beta 116.14
_cell_angle_gamma 90.00
_space_group_name_H-M_alt 'C 1 2/m 1'
_space_group_IT_number 12
loop_
_space_group_symop_operation_xyz
'x,y,z'
'-x,-y,-z'
'-x,y,-z'
'x,-y,z'
'x+1/2,y+1/2,z'
'-x+1/2,-y+1/2,-z'
'-x+1/2,y+1/2,-z'
'x+1/2,-y+1/2,z'
loop_
_atom_site_label
_atom_site_type_symbol
_atom_site_fract_x
_atom_site_fract_y
_atom_site_fract_z
Ca1 Ca 0.0000 0.0000 0.0000
Tl1 Tl 0.0000 0.5000 0.0000
Ru1 Ru 0.2500 0.2500 0.5000

***

[9]
# MgBeHg2, optimized geometry, DFT PBE-GGA
# * excess energy over the best structure of this formula in the dataset: 0.071 eV/atom
# * ΔE_f: 22 kJ/mol of atoms
data_MgBeHg2
_cell_length_a 3.5811
_cell_length_b 3.7597
_cell_length_c 5.6402
_cell_angle_alpha 90.00
_cell_angle_beta 90.00
_cell_angle_gamma 90.00
_space_group_name_H-M_alt 'P m m 2'
_space_group_IT_number 25
loop_
_space_group_symop_operation_xyz
'x,y,z'
'-x,-y,z'
'-x,y,z'
'x,-y,z'
loop_
_atom_site_label
_atom_site_type_symbol
_atom_site_fract_x
_atom_site_fract_y
_atom_site_fract_z
Mg1 Mg 0.0000 0.0000 0.0000
Be1 Be 0.5000 0.5000 0.2801
Hg1 Hg 0.0000 0.0000 0.4701
Hg2 Hg 0.5000 0.5000 0.7895

***

[10]
# RbSrReTc2, optimized geometry, DFT PBE-GGA
# * excess energy over the best structure of this formula in the dataset: 0.000 eV/atom
# * ΔE_f: 136 kJ/mol of atoms
data_RbSrReTc2
_cell_length_a 4.8136
_cell_length_b 4.8136
_cell_length_c 5.8763
_cell_angle_alpha 90.00
_cell_angle_beta 90.00
_cell_angle_gamma 90.00
_space_group_name_H-M_alt 'P 4/m m m'
_space_group_IT_number 123
_space_group_name_Hall '-P 4 2'
loop_
_atom_site_label
_atom_site_type_symbol
_atom_site_fract_x
_atom_site_fract_y
_atom_site_fract_z
Rb1 Rb 0.0000 0.0000 0.0000
Sr1 Sr 0.5000 0.5000 0.0000
Re1 Re 0.0000 0.0000 0.5000
Tc1 Tc 0.0000 0.5000 0.5000

***

> What is the formula in the second record?

RbTa2MoPt